Entry 1:
Entry from Alexandria: SmY8Tm6 after structural relaxation (PBE).

Calculated values
E_form = 0.19 eV/atom
Crystal system = trigonal
Symmetry = R-3, No. 148
Magnetic moment = 0.00 μB per cell
Theoretical density = 6.50 Mg/m³
ΔE to the lowest computed polymorph = 0 meV per atom

Cell lengths 8.1327, 8.1327, 8.1327 Å; angles 72.95, 72.95, 72.95 degrees
Last column: nearest neighbours and their distance in Å.
Sites, in units of the cell vectors:
1 Sm 0.0000 0.0000 0.0000  6 Tm 3.34, 6 Y 3.73
2 Y 0.0706 0.6411 0.7714  3 Tm 3.28-3.50, 2 Y 3.61
3 Y 0.2286 0.9294 0.3589  3 Tm 3.28-3.50, 2 Y 3.61
4 Y 0.3589 0.2286 0.9294  3 Tm 3.28-3.50, 2 Y 3.61
5 Y 0.4121 0.4121 0.4121  3 Tm 3.11, 1 Y 3.12
6 Y 0.5879 0.5879 0.5879  3 Tm 3.11, 1 Y 3.12
7 Y 0.6411 0.7714 0.0706  3 Tm 3.28-3.50, 2 Y 3.61
8 Y 0.7714 0.0706 0.6411  3 Tm 3.28-3.50, 2 Y 3.61
9 Y 0.9294 0.3589 0.2286  3 Tm 3.28-3.50, 2 Y 3.61
10 Tm 0.0646 0.2880 0.6113  3 Y 3.11-3.44, 1 Sm 3.34, 3 Tm 3.36-3.41
11 Tm 0.2880 0.6113 0.0646  3 Y 3.11-3.44, 1 Sm 3.34, 3 Tm 3.36-3.41
12 Tm 0.3887 0.9354 0.7120  3 Y 3.11-3.44, 1 Sm 3.34, 3 Tm 3.36-3.41
13 Tm 0.6113 0.0646 0.2880  3 Y 3.11-3.44, 1 Sm 3.34, 3 Tm 3.36-3.41
14 Tm 0.7120 0.3887 0.9354  3 Y 3.11-3.44, 1 Sm 3.34, 3 Tm 3.36-3.41
15 Tm 0.9354 0.7120 0.3887  3 Y 3.11-3.44, 1 Sm 3.34, 3 Tm 3.36-3.41

Entry 2:
Entry from Alexandria: Cs3NaH2Br6 after structural relaxation (PBE).

Calculated values
Total energy = -33.79 eV per cell
Crystal system = trigonal
Symmetry = P-3m1, No. 164
Magnetic moment = 0.00 μB per cell
Theoretical density = 3.26 Mg/m³

Cell lengths 7.5737, 7.5737, 9.2731 Å; angles 90.00, 90.00, 120.00 degrees
Last column: nearest neighbours and their distance in Å.
Sites, in units of the cell vectors:
1 Cs 0.0000 0.0000 0.0000  6 Br 3.63
2 Cs 0.3333 0.6667 0.6499  1 H 3.30
3 Cs 0.6667 0.3333 0.3501  1 H 3.30
4 Na 0.0000 0.0000 0.5000  6 Br 3.04
5 H 0.3333 0.6667 0.2940  3 Br 2.00
6 H 0.6667 0.3333 0.7060  3 Br 2.00
7 Br 0.1812 0.3625 0.2964  1 H 2.00
8 Br 0.1812 0.8188 0.2964  1 H 2.00
9 Br 0.3625 0.1812 0.7036  1 H 2.00
10 Br 0.6375 0.8188 0.2964  1 H 2.00
11 Br 0.8188 0.1812 0.7036  1 H 2.00
12 Br 0.8188 0.6375 0.7036  1 H 2.00

Entry 3:
Entry from Alexandria: AlBH2 after structural relaxation (PBE).

Calculated values
Crystal system = triclinic
Symmetry = P1, No. 1
Magnetic moment = 0.00 μB per cell
Theoretical density = 1.57 Mg/m³
ΔE to the lowest computed polymorph = 30 meV per atom

Cell lengths 3.7439, 4.8876, 5.1161 Å; angles 107.29, 108.53, 90.57 degrees
Last column: nearest neighbours and their distance in Å.
Sites, in units of the cell vectors:
1 Al 0.0000 0.0000 0.0000  3 H 2.10-2.29, 2 B 2.14-2.28
2 Al 0.1720 0.5511 0.2558  2 H 1.86-2.07
3 B 0.6855 0.7967 0.2243  2 H 1.25
4 B 0.7395 0.7373 0.5577  2 H 1.24-1.26
5 H 0.4530 0.7599 0.6371  1 B 1.26
6 H 0.4706 0.6146 0.9968  1 B 1.25
7 H 0.6096 0.0444 0.2235  1 B 1.25
8 H 0.8402 0.5021 0.5770  1 B 1.24

Entry 4:
Entry from Alexandria: Pm2Y6In after structural relaxation (PBE).

Calculated values
E_form = -0.08 eV/atom
Crystal system = orthorhombic
Symmetry = Fmmm, No. 69
Magnetic moment = 0.00 μB per cell
Theoretical density = 5.51 Mg/m³
ΔE to the lowest computed polymorph = 0 meV per atom

Cell lengths 10.6994, 7.9970, 7.9212 Å; angles 84.46, 48.07, 47.47 degrees
Last column: nearest neighbours and their distance in Å.
Sites, in units of the cell vectors:
1 Pm 0.1634 0.1634 0.8366  8 Y 3.45-3.62, 2 In 3.51, 2 Pm 3.61
2 Pm 0.8366 0.8366 0.1634  8 Y 3.45-3.62, 2 In 3.51, 2 Pm 3.61
3 Y 0.1588 0.8412 0.1588  2 In 3.44, 2 Pm 3.45, 8 Y 3.53-3.69
4 Y 0.1669 0.5017 0.4983  8 Y 3.51-3.63, 3 Pm 3.53-3.62, 1 In 3.56
5 Y 0.4983 0.8331 0.1669  8 Y 3.51-3.63, 3 Pm 3.53-3.62, 1 In 3.56
6 Y 0.5017 0.1669 0.8331  8 Y 3.51-3.63, 3 Pm 3.53-3.62, 1 In 3.56
7 Y 0.8331 0.4983 0.5017  8 Y 3.51-3.63, 3 Pm 3.53-3.62, 1 In 3.56
8 Y 0.8412 0.1588 0.8412  2 In 3.44, 2 Pm 3.45, 8 Y 3.53-3.69
9 In 0.5000 0.5000 0.5000  8 Y 3.44-3.56, 4 Pm 3.51

Entry 5:
Entry from Alexandria: BaNb2SbS after structural relaxation (PBE).

Calculated values
Formation energy without anion corrections = 2.495 eV per atom
Crystal system = tetragonal
Symmetry = P4/mmm, No. 123
Magnetic moment = 1.56 μB per cell
Theoretical density = 4.90 Mg/m³

Cell lengths 5.1796, 5.1796, 6.0237 Å; angles 90.00, 90.00, 90.00 degrees
Last column: nearest neighbours and their distance in Å.
Sites, in units of the cell vectors:
1 Ba 0.0000 0.0000 0.0000  4 Nb 2.59
2 Nb 0.0000 0.5000 0.0000  2 Ba 2.59
3 Nb 0.5000 0.0000 0.0000  2 Ba 2.59
4 Sb 0.0000 0.0000 0.5000  2 Ba 3.01
5 S 0.5000 0.5000 0.5000  4 Sb 3.66, 8 Nb 3.97

Entry 6:
Entry from Alexandria: Nd2Re3N8 after structural relaxation (PBE).

Calculated values
Formation energy without anion corrections = -0.321 eV per atom
Crystal system = monoclinic
Symmetry = C2/m, No. 12
Magnetic moment = 0.00 μB per cell
Theoretical density = 8.90 Mg/m³

Cell lengths 6.7541, 6.7541, 5.0819 Å; angles 109.20, 109.20, 56.31 degrees
Last column: nearest neighbours and their distance in Å.
Sites, in units of the cell vectors:
1 Nd 0.2366 0.2366 0.1592  6 N 2.38-2.50
2 Nd 0.7634 0.7634 0.8408  6 N 2.38-2.50
3 Re 0.2034 0.7966 0.5000  4 N 1.96-1.97
4 Re 0.5000 0.5000 0.0000  6 N 1.92-2.06
5 Re 0.7966 0.2034 0.5000  4 N 1.96-1.97
6 N 0.1119 0.1119 0.4436  2 Re 1.96
7 N 0.1765 0.6229 0.1063  2 Re 1.97-2.06
8 N 0.3771 0.8235 0.8937  2 Re 1.97-2.06
9 N 0.4023 0.4023 0.6022  1 Re 1.92
10 N 0.5977 0.5977 0.3978  1 Re 1.92
11 N 0.6229 0.1765 0.1063  2 Re 1.97-2.06
12 N 0.8235 0.3771 0.8937  2 Re 1.97-2.06
13 N 0.8881 0.8881 0.5564  2 Re 1.96

Entry 7:
Entry from Alexandria: Tb2Y5Tm2 after structural relaxation (PBE).

Calculated values
E_form = 0.20 eV/atom
Crystal system = orthorhombic
Symmetry = Ima2, No. 46
Magnetic moment = 0.00 μB per cell
Theoretical density = 6.24 Mg/m³
ΔE to the lowest computed polymorph = 175 meV per atom

Cell lengths 10.3621, 10.3621, 10.3621 Å; angles 85.70, 104.22, 146.03 degrees
Last column: nearest neighbours and their distance in Å.
Sites, in units of the cell vectors:
1 Tb 0.0000 0.0000 0.0000  4 Y 3.28-3.62, 2 Tm 3.38
2 Tb 0.0000 0.5000 0.5000  4 Y 3.28-3.62, 2 Tm 3.38
3 Tb 0.0765 0.8764 0.7001  4 Y 3.27-3.45, 2 Tm 3.43
4 Tb 0.1764 0.3764 0.2999  4 Y 3.27-3.45, 2 Tm 3.43
5 Y 0.2283 0.3769 0.7601  5 Y 3.34-3.52, 2 Tm 3.49-3.51, 1 Tb 3.62
6 Y 0.2283 0.9682 0.3514  5 Y 3.34-3.52, 2 Tm 3.49-3.51, 1 Tb 3.62
7 Y 0.2733 0.7281 0.8314  5 Y 3.25-3.52, 2 Tb 3.28-3.45, 3 Tm 3.36-3.57
8 Y 0.2733 0.9419 0.0452  5 Y 3.25-3.52, 2 Tb 3.28-3.45, 3 Tm 3.36-3.57
9 Y 0.4810 0.4156 0.5654  2 Tb 3.27-3.39, 4 Y 3.44-3.45, 2 Tm 3.45
10 Y 0.6168 0.4682 0.2399  5 Y 3.34-3.52, 2 Tm 3.49-3.51, 1 Tb 3.62
11 Y 0.6168 0.8769 0.6486  5 Y 3.34-3.52, 2 Tm 3.49-3.51, 1 Tb 3.62
12 Y 0.8502 0.9156 0.4346  2 Tb 3.27-3.39, 4 Y 3.44-3.45, 2 Tm 3.45
13 Y 0.8967 0.2281 0.9548  5 Y 3.25-3.52, 2 Tb 3.28-3.45, 3 Tm 3.36-3.57
14 Y 0.8967 0.4419 0.1686  5 Y 3.25-3.52, 2 Tb 3.28-3.45, 3 Tm 3.36-3.57
15 Tm 0.5277 0.7139 0.0913  6 Y 3.36-3.57, 1 Tm 3.38, 2 Tb 3.38-3.43
16 Tm 0.5277 0.9364 0.3138  6 Y 3.36-3.57, 1 Tm 3.38, 2 Tb 3.38-3.43
17 Tm 0.6226 0.2139 0.6862  6 Y 3.36-3.57, 1 Tm 3.38, 2 Tb 3.38-3.43
18 Tm 0.6226 0.4364 0.9087  6 Y 3.36-3.57, 1 Tm 3.38, 2 Tb 3.38-3.43

Entry 8:
Entry from Alexandria: HoMgZnCo after structural relaxation (PBE).

Calculated values
E_form = -0.09 eV/atom
Crystal system = cubic
Symmetry = F-43m, No. 216
Magnetic moment = 2.72 μB per cell
Theoretical density = 7.19 Mg/m³

Cell lengths 6.6160, 6.6160, 6.6160 Å; angles 90.00, 90.00, 90.00 degrees
Last column: nearest neighbours and their distance in Å.
Sites, in units of the cell vectors:
1 Ho 0.0000 0.0000 0.0000  4 Co 2.86, 4 Zn 2.86
2 Ho 0.0000 0.5000 0.5000  4 Co 2.86, 4 Zn 2.86
3 Ho 0.5000 0.0000 0.5000  4 Co 2.86, 4 Zn 2.86
4 Ho 0.5000 0.5000 0.0000  4 Co 2.86, 4 Zn 2.86
5 Mg 0.0000 0.0000 0.5000  4 Co 2.86, 4 Zn 2.86
6 Mg 0.0000 0.5000 0.0000  4 Co 2.86, 4 Zn 2.86
7 Mg 0.5000 0.0000 0.0000  4 Co 2.86, 4 Zn 2.86
8 Mg 0.5000 0.5000 0.5000  4 Co 2.86, 4 Zn 2.86
9 Zn 0.2500 0.2500 0.7500  4 Ho 2.86, 4 Mg 2.86
10 Zn 0.2500 0.7500 0.2500  4 Ho 2.86, 4 Mg 2.86
11 Zn 0.7500 0.2500 0.2500  4 Ho 2.86, 4 Mg 2.86
12 Zn 0.7500 0.7500 0.7500  4 Mg 2.86, 4 Ho 2.86
13 Co 0.2500 0.2500 0.2500  4 Ho 2.86, 4 Mg 2.86
14 Co 0.2500 0.7500 0.7500  4 Ho 2.86, 4 Mg 2.86
15 Co 0.7500 0.2500 0.7500  4 Ho 2.86, 4 Mg 2.86
16 Co 0.7500 0.7500 0.2500  4 Ho 2.86, 4 Mg 2.86